Entry 1:
A relaxed CaNdInAu crystal, computed with GGA-PBE.

Unit cell a=5.3341 b=5.3341 c=5.3341 alpha=60.00 beta=60.00 gamma=60.00
Fractional coordinates of all 4 atoms:
Nd 0.7500 0.7500 0.7500
Ca 0.2500 0.2500 0.2500
Au 0.0000 0.0000 0.0000
In 0.5000 0.5000 0.5000


Entry 2:
A relaxed SrTc2 crystal, computed with GGA-PBE.

Unit cell a=6.7944 b=6.7944 c=4.9155 alpha=90.00 beta=90.00 gamma=120.00
Fractional coordinates of all 9 atoms:
Sr 0.3333 0.6667 0.0000
Sr 0.6667 0.3333 0.0000
Sr 0.0000 0.0000 0.5000
Tc 0.2112 0.0000 0.0000
Tc 0.0000 0.2112 0.0000
Tc 0.7888 0.7888 0.0000
Tc 0.4602 0.0000 0.5000
Tc 0.0000 0.4602 0.5000
Tc 0.5398 0.5398 0.5000


Entry 3:
A relaxed LiMo2Br crystal, computed with GGA-PBE.

Unit cell a=5.2708 b=5.2708 c=2.9130 alpha=90.00 beta=90.00 gamma=122.97
Fractional coordinates of all 4 atoms:
Br 0.5000 0.0000 0.5000
Li 0.0000 0.5000 0.5000
Mo 0.0000 0.0000 0.0000
Mo 0.5000 0.5000 0.0000

formation energy (no corrections): 3.4 eV per formula unit


no.,energy above the lowest structure with this stoichiometry (eV/atom),spin magnetization (μB/cell)
1,0.013,0.0
2,1.186,3.0
3,0.788,0.0